Entry 1:
DFT (PBE) results for crystalline Rb2NaO8 at its relaxed geometry.

a = 8.479 Å, b = 8.479 Å, c = 5.307 Å
α = 107.30°, β = 107.30°, γ = 33.96°
Fractional coordinates of all 11 atoms:
Rb (0.144, 0.144, 0.151)
Rb (0.856, 0.856, 0.849)
Na (0.500, 0.500, 0.500)
O (0.009, 0.009, 0.630)
O (0.200, 0.467, 0.322)
O (0.464, 0.464, 0.896)
O (0.467, 0.200, 0.322)
O (0.533, 0.800, 0.678)
O (0.536, 0.536, 0.104)
O (0.800, 0.533, 0.678)
O (0.991, 0.991, 0.370)

Computed properties:
DOS at the Fermi energy ... 0.97 states/eV per atom
Formation energy from raw total energies ... -679 meV per atom
SG ... C2/m, No. 12
M_tot ... 5.00 μB per cell


Entry 2:
DFT (PBE) results for crystalline Rb4NaO at its relaxed geometry.

a = 11.846 Å, b = 11.846 Å, c = 8.960 Å
α = 90.00°, β = 90.00°, γ = 151.19°
Fractional coordinates of all 12 atoms:
Rb (0.000, 0.000, 0.000)
Rb (0.000, 0.000, 0.500)
Rb (0.172, 0.828, 0.541)
Rb (0.172, 0.828, 0.958)
Rb (0.423, 0.577, 0.250)
Rb (0.577, 0.423, 0.750)
Rb (0.828, 0.172, 0.041)
Rb (0.828, 0.172, 0.458)
Na (0.381, 0.619, 0.749)
Na (0.619, 0.381, 0.249)
O (0.089, 0.911, 0.750)
O (0.911, 0.089, 0.250)

Computed properties:
DOS at the Fermi energy ... 0.48 states/eV per atom
Formation energy from raw total energies ... -444 meV per atom
SG ... Cmc2_1, No. 36
M_tot ... 0.00 μB per cell


Entry 3:
DFT (PBE) results for crystalline RbNa2O6 at its relaxed geometry.

a = 3.791 Å, b = 5.741 Å, c = 7.598 Å
α = 109.59°, β = 90.94°, γ = 107.89°
Fractional coordinates of all 9 atoms:
Rb (0.000, 0.000, 0.000)
Na (0.168, 0.325, 0.617)
Na (0.832, 0.675, 0.383)
O (0.290, 0.758, 0.653)
O (0.391, 0.783, 0.217)
O (0.393, 0.031, 0.344)
O (0.607, 0.969, 0.656)
O (0.609, 0.217, 0.783)
O (0.710, 0.242, 0.347)

Computed properties:
DOS at the Fermi energy ... 0.42 states/eV per atom
Formation energy from raw total energies ... -722 meV per atom
SG ... P-1, No. 2
M_tot ... 1.01 μB per cell